1.
VASP calculation (PBE-GGA) on a relaxed structure of Cs2NaAgCl6.

Unit cell a=7.4861 b=7.4861 c=7.4861 alpha=59.41 beta=59.41 gamma=59.41
Element x y z (fractional)
Cs  0.7517  0.7517  0.7517
Cs  0.2487  0.2487  0.2487
Cl  0.7565  0.2402  0.2396
Cl  0.7602  0.7607  0.2439
Cl  0.2402  0.2396  0.7565
Cl  0.2396  0.7565  0.2402
Cl  0.7607  0.2439  0.7602
Cl  0.2439  0.7602  0.7607
Na  0.5002  0.5002  0.5002
Ag  0.0002  0.0002  0.0002


2.
VASP calculation (PBE-GGA) on a relaxed structure of BeZnAu.

offset from the most stable computed form = 0.00 eV/f.u.

Unit cell a=3.9710 b=3.9710 c=3.9710 alpha=60.00 beta=60.00 gamma=60.00
Element x y z (fractional)
Au  0.2500  0.2500  0.2500
Zn  0.7500  0.7500  0.7500
Be  0.0000  0.0000  0.0000


3.
VASP calculation (PBE-GGA) on a relaxed structure of Er2TmSi4Ag4.

total moment = 0.0 μB/f.u.

Unit cell a=8.1300 b=8.1300 c=8.1300 alpha=149.81 beta=129.34 gamma=60.11
Element x y z (fractional)
Ag  0.0303  0.3311  0.6992
Ag  0.9697  0.6689  0.3008
Ag  0.6318  0.3311  0.3008
Ag  0.3682  0.6689  0.6992
Er  0.6245  0.1245  0.5000
Er  0.3755  0.8755  0.5000
Tm  0.0000  0.0000  0.0000
Si  0.6768  0.5000  0.1768
Si  0.7844  0.7844  0.0000
Si  0.3232  0.5000  0.8232
Si  0.2156  0.2156  0.0000


Energy for the records above, in order: -29.28; -8.37; -51.82 eV for the cell shown